Entry 1:
PBE KTi3Bi, optimized geometry; energy of formation = 1.777 eV/atom; magnetization = 3.197 Bohr magnetons per cell; DOS(E_F) = 5.07 states/eV per cell; raw total energy = -3.9560 eV per atom
1.0
4.751 0.000 0.000
0.000 4.751 0.000
0.000 0.000 4.751
K Ti Bi
1 3 1
Direct
0.000 0.000 0.000
0.000 0.000 0.500
0.000 0.500 0.000
0.500 0.000 0.000
0.500 0.500 0.500


Entry 2:
PBE KTiBi3, optimized geometry; energy of formation = -0.107 eV/atom; magnetization = 0.000 Bohr magnetons per cell; DOS(E_F) = 4.29 states/eV per cell; raw total energy = -4.2341 eV per atom
1.0
5.526 0.000 0.000
0.000 5.526 0.000
0.000 0.000 5.526
K Ti Bi
1 1 3
Direct
0.000 0.000 0.000
0.500 0.500 0.500
0.000 0.500 0.500
0.500 0.000 0.500
0.500 0.500 0.000


Entry 3:
PBE KTi2Bi2, optimized geometry; energy of formation = 0.039 eV/atom; magnetization = 0.011 Bohr magnetons per cell; DOS(E_F) = 12.62 states/eV per cell; raw total energy = -4.8913 eV per atom
1.0
8.566 0.000 0.000
0.000 8.566 0.000
0.000 0.000 3.543
K Ti Bi
2 4 4
Direct
0.000 0.000 0.000
0.500 0.500 0.000
0.106 0.394 0.000
0.394 0.894 0.000
0.606 0.106 0.000
0.894 0.606 0.000
0.169 0.669 0.500
0.331 0.169 0.500
0.669 0.831 0.500
0.831 0.331 0.500


E above lowest polymorph, respectively: 659, 0, 155 meV per atom.